1.
Material: PrScCl3
Method: DFT, PBE
State: optimized geometry

Structure (POSCAR):
```
PrScCl3
1.0
7.754 -1.881 0.000
7.754 1.881 0.000
-2.415 0.000 9.423
Pr Sc Cl
2 2 6
Cartesian
0.457 0.000 4.203
12.637 0.000 5.220
5.809 0.000 2.208
7.284 0.000 7.215
-0.023 0.000 8.832
3.557 0.000 3.421
4.801 0.000 7.379
8.293 0.000 2.044
9.536 0.000 6.003
13.117 0.000 0.591
```

Values from the calculation:
- Crystal system: monoclinic
- Spin magnetization: 0.00 μB/f.u.
- Total DFT energy (no corrections): -5.079 eV/atom
- Space-group type: C2/m (12)

=====

2.
Material: PrSe2Cl2
Method: DFT, PBE
State: optimized geometry

Structure (POSCAR):
```
PrSe2Cl2
1.0
7.269 0.000 0.000
3.238 6.921 0.000
3.546 2.475 6.839
Pr Se Cl
2 4 4
Cartesian
1.809 0.417 1.103
12.245 8.979 5.736
4.981 6.352 4.075
3.611 1.730 3.269
10.443 7.666 3.570
9.072 3.045 2.764
3.571 5.196 0.195
6.858 3.909 5.854
7.196 5.487 0.984
10.482 4.201 6.644
```

Values from the calculation:
- Crystal system: triclinic
- Spin magnetization: 0.00 μB/f.u.
- Total DFT energy (no corrections): -4.594 eV/atom
- Space-group type: P-1 (2)

=====

3.
Material: PrSmSnCl2
Method: DFT, PBE
State: optimized geometry

Structure (POSCAR):
```
PrSmSnCl2
1.0
4.347 0.000 0.000
-2.174 3.765 0.000
0.000 0.000 9.551
Pr Sm Sn Cl
1 1 1 2
Cartesian
0.000 0.000 0.000
0.000 2.510 5.847
2.174 1.255 7.664
0.000 0.000 4.399
0.000 2.510 1.525
```

Values from the calculation:
- Crystal system: trigonal
- Spin magnetization: 0.00 μB/f.u.
- Total DFT energy (no corrections): -4.956 eV/atom
- Space-group type: P3m1 (156)